1.
First-principles (PBE) data for DyTmMgCo2 after structural relaxation, as listed in the Open Quantum Materials Database.

abc: 5.356 5.356 5.356
angles: 134.34 116.83 81.35
Element x y z (fractional)
Co: 0.801 0.500 0.301
Co: 0.199 0.500 0.699
Dy: 0.208 0.208 0.000
Mg: 0.500 0.000 0.500
Tm: 0.792 0.792 0.000

Calculated values
The volume comes out at 18.939 Å³ per atom. Its symmetry is Imm2, No. 44. The value obtained for the magnetization is 0.006 μB per formula unit. As for the total energy: -5.175 eV/atom.


2.
First-principles (PBE) data for DyYMg3Co2 after structural relaxation, as listed in the Open Quantum Materials Database.

abc: 3.783 10.598 10.598
angles: 20.72 90.00 90.00
Element x y z (fractional)
Co: 0.500 0.281 0.281
Co: 0.500 0.718 0.718
Dy: 0.000 0.176 0.176
Mg: 0.000 0.000 0.000
Mg: 0.500 0.419 0.419
Mg: 0.500 0.581 0.581
Y: 0.000 0.825 0.825

Calculated values
The volume comes out at 21.473 Å³ per atom. Its symmetry is Amm2, No. 38. The value obtained for the magnetization is 0.563 μB per formula unit. As for the total energy: -4.417 eV/atom.


3.
First-principles (PBE) data for DyYMgCo2 after structural relaxation, as listed in the Open Quantum Materials Database.

abc: 5.403 5.403 5.403
angles: 134.41 116.95 81.20
Element x y z (fractional)
Co: 0.800 0.500 0.300
Co: 0.200 0.500 0.700
Dy: 0.208 0.208 0.000
Mg: 0.500 0.000 0.500
Y: 0.792 0.792 0.000

Calculated values
The volume comes out at 19.408 Å³ per atom. Its symmetry is Imm2, No. 44. The value obtained for the magnetization is 0.007 μB per formula unit. As for the total energy: -5.552 eV/atom.


4.
First-principles (PBE) data for Dy2CoN3 after structural relaxation, as listed in the Open Quantum Materials Database.

abc: 6.646 6.646 6.646
angles: 150.42 149.11 43.29
Element x y z (fractional)
Co: 0.000 0.000 0.000
Dy: 0.350 0.350 0.000
Dy: 0.650 0.650 0.000
N: 0.164 0.164 0.000
N: 0.836 0.836 0.000
N: 0.500 0.000 0.500

Calculated values
The volume comes out at 12.366 Å³ per atom. Its symmetry is Immm, No. 71. The value obtained for the magnetization is 0.020 μB per formula unit. As for the total energy: -7.955 eV/atom.